MnAsO3: relaxed, GGA+U.

a b c (Å): 3.780 3.780 3.780
angles (deg): 90.00 90.00 90.00
Atoms (fractional coordinates):
Mn1 0.000 0.000 0.000
As1 0.500 0.500 0.500
O1 0.000 0.000 0.500
O2 0.000 0.500 0.000
O3 0.500 0.000 0.000

## Properties
E_tot, eV for the cell shown: -30.1
Magnetic moment, μB/f.u.: 3.735

MnAsO3: relaxed, GGA+U.

a b c (Å): 3.823 3.823 3.823
angles (deg): 90.00 90.00 90.00
Atoms (fractional coordinates):
Mn1 0.000 0.000 0.000
As1 0.500 0.500 0.500
O1 0.000 0.500 0.500
O2 0.500 0.000 0.500
O3 0.500 0.500 0.000

## Properties
E_tot, eV for the cell shown: -31.6
Magnetic moment, μB/f.u.: 5.052

Mn2As3O6: relaxed, GGA+U.

a b c (Å): 6.139 6.139 9.739
angles (deg): 101.54 101.54 86.95
Atoms (fractional coordinates):
Mn1 0.119 0.249 0.012
Mn2 0.249 0.119 0.512
Mn3 0.751 0.881 0.488
Mn4 0.881 0.751 0.988
As1 0.154 0.602 0.307
As2 0.326 0.674 0.750
As3 0.398 0.846 0.193
As4 0.602 0.154 0.807
As5 0.674 0.326 0.250
As6 0.846 0.398 0.693
O1 0.039 0.849 0.392
O2 0.046 0.476 0.858
O3 0.151 0.961 0.108
O4 0.340 0.440 0.619
O5 0.440 0.340 0.119
O6 0.476 0.046 0.358
O7 0.524 0.954 0.642
O8 0.560 0.660 0.881
O9 0.660 0.560 0.381
O10 0.849 0.039 0.892
O11 0.954 0.524 0.142
O12 0.961 0.151 0.608

## Properties
E_tot, eV for the cell shown: -143.6
Magnetic moment, μB/f.u.: 9.028

Mn3AsO: relaxed, GGA+U.

a b c (Å): 4.362 4.362 4.362
angles (deg): 90.00 90.00 90.00
Atoms (fractional coordinates):
Mn1 0.000 0.000 0.500
Mn2 0.000 0.500 0.000
Mn3 0.500 0.000 0.000
As1 0.500 0.500 0.500
O1 0.000 0.000 0.000

## Properties
E_tot, eV for the cell shown: -33.7
Distance to the lowest polymorph of the same formula, eV/atom: 0.000
Magnetic moment, μB/f.u.: 14.365